First-principles (PBE-GGA) data for a geometry-optimized ZrNiC2 structure, as listed in the Alexandria database.

Values from the calculation:
As for the density: 6.2 Mg/m³. The calculation puts the formation energy at 0.486 eV per atom. The magnetization is 0.00 μB per formula unit.

Structure (POSCAR):
```
ZrNiC2
1.0
-3.119 -1.000 2.132
0.990 -3.767 -0.319
2.274 -1.939 6.000
C Ni Zr
4 2 2
direct
0.490 0.125 0.250
0.375 0.510 0.750
0.260 0.625 0.250
0.875 0.740 0.750
0.500 0.500 0.000
0.250 0.750 0.500
0.750 0.250 0.500
0.000 0.000 0.000
```

=====

First-principles (PBE-GGA) data for a geometry-optimized Mn2TcCl structure, as listed in the Alexandria database.

Values from the calculation:
As for the density: 6.7 Mg/m³. The magnetization is 6.37 μB per formula unit. The calculation puts the formation energy without anion corrections at 822 meV/atom.

Structure (POSCAR):
```
Mn2TcCl
1.0
4.751 0.001 0.000
1.426 4.532 0.000
-3.089 -2.267 2.810
Mn Cl Tc
2 1 1
direct
0.000 0.000 0.000
0.500 0.500 0.000
0.750 0.250 0.500
0.250 0.750 0.500
```

=====

First-principles (PBE-GGA) data for a geometry-optimized Tb4TlGaAg2 structure, as listed in the Alexandria database.

Values from the calculation:
As for the density: 9.3 Mg/m³. The calculation puts the formation energy at -0.398 eV per atom. The magnetization is 0.01 μB per formula unit.

Structure (POSCAR):
```
Tb4TlGaAg2
1.0
5.211 0.000 0.000
2.605 4.513 0.000
2.605 1.504 8.505
Ag Ga Tb Tl
2 1 4 1
direct
0.748 0.748 0.755
0.252 0.252 0.245
0.500 0.500 0.500
0.621 0.621 0.137
0.129 0.129 0.613
0.871 0.871 0.387
0.379 0.379 0.863
0.000 0.000 0.000
```

=====

First-principles (PBE-GGA) data for a geometry-optimized CuPbSe2 structure, as listed in the Alexandria database.

Values from the calculation:
As for the density: 7.8 Mg/m³. The magnetization is 0.00 μB per formula unit. The calculation puts the formation energy without anion corrections at 148 meV/atom.

Structure (POSCAR):
```
CuPbSe2
1.0
-3.182 -2.331 2.867
3.980 -2.789 0.396
1.190 2.132 3.054
Se Cu Pb
2 1 1
direct
0.500 0.500 0.000
0.000 0.000 0.000
0.500 0.000 0.500
0.000 0.500 0.500
```

=====

First-principles (PBE-GGA) data for a geometry-optimized LiCuO structure, as listed in the Alexandria database.

Values from the calculation:
As for the density: 4.6 Mg/m³. The magnetization is 0.00 μB per formula unit. The calculation puts the formation energy without anion corrections at -1152 meV/atom.

Structure (POSCAR):
```
LiCuO
1.0
-4.519 1.136 2.711
-2.332 -3.668 -2.351
1.294 -3.015 3.420
O Li Cu
4 4 4
direct
0.500 0.750 0.695
0.000 0.750 0.305
0.000 0.250 0.695
0.500 0.250 0.305
0.750 0.000 0.500
0.250 0.500 0.500
0.750 0.500 0.500
0.250 0.000 0.500
0.000 0.500 0.000
0.500 0.000 0.000
0.500 0.500 0.000
0.000 0.000 0.000
```

=====

First-principles (PBE-GGA) data for a geometry-optimized PrEuCdIn structure, as listed in the Alexandria database.

Values from the calculation:
As for the density: 7.2 Mg/m³. The calculation puts the formation energy at -0.410 eV per atom. The magnetization is 7.43 μB per formula unit.

Structure (POSCAR):
```
PrEuCdIn
1.0
5.543 0.000 0.000
2.772 4.800 0.000
2.772 1.600 4.526
Pr Cd Eu In
1 1 1 1
direct
0.000 0.000 0.000
0.750 0.750 0.750
0.500 0.500 0.500
0.250 0.250 0.250
```